A plane-wave DFT calculation with PBE was carried out for a relaxed ZrBiBCl2 crystal.

Summary:
Electronic total energy ... -20.35 eV for the cell shown

Cell lengths 4.4380, 4.4380, 5.2740 Å; angles 90.00, 90.00, 90.00 degrees
Space group P4/mmm (No. 123)
Asymmetric unit:
Zr: 0.0000 0.0000 0.0000
Bi: 0.5000 0.5000 0.0000
B: 0.5000 0.5000 0.5000
Cl: 0.0000 0.5000 0.5000